Density functional theory data (PBE) for a relaxed structure of LuAsIrAu.

Calculated values
Total moment (Bohr magnetons per cell): 0.001
Energy (eV per atom): -5.740
Density (Mg/m³): 14.713

The structure in POSCAR format:
```
LuAsIrAu
1.0
0.0000 3.3038 3.3038
3.3038 0.0000 3.3038
3.3038 3.3038 0.0000
Lu As Ir Au
1 1 1 1
Direct
0.0000 0.0000 0.0000 Lu
0.2500 0.2500 0.2500 As
0.5000 0.5000 0.5000 Ir
0.7500 0.7500 0.7500 Au
```